KCa2Rh | PBE | relaxed

Computed properties:
E_form = -0.01 eV per atom
energy above the most stable polymorph in this dataset = 145 meV/atom
size of the total moment = 0.00 μB per cell
calculated total energy = -3.13 eV per atom

```
KCa2Rh
1.0
3.771 0.000 0.000
0.000 4.353 0.007
0.000 2.179 9.041
Ca K Rh
2 1 1
Direct
0.000 0.987 0.901 Ca
0.500 0.351 0.171 Ca
0.000 0.663 0.548 K
0.500 0.498 0.880 Rh
```

K2CaRh | PBE | relaxed

Computed properties:
E_form = 0.13 eV per atom
size of the total moment = 0.00 μB per cell
calculated total energy = -2.76 eV per atom

```
K2CaRh
1.0
3.735 0.000 0.000
0.000 3.735 0.000
0.000 0.000 10.903
Ca K Rh
1 2 1
Direct
0.500 0.500 0.654 Ca
0.000 0.000 0.962 K
0.500 0.500 0.337 K
0.000 0.000 0.547 Rh
```

K3CaRh | PBE | relaxed

Computed properties:
E_form = 1.33 eV per atom
energy above the most stable polymorph in this dataset = 730 meV/atom
size of the total moment = 0.10 μB per cell
calculated total energy = -1.20 eV per atom

```
K3CaRh
1.0
7.004 0.000 0.000
0.000 7.004 0.000
0.000 0.000 7.004
Ca Rh K
1 1 3
Direct
0.000 0.000 0.000 Ca
0.500 0.500 0.500 Rh
0.000 0.500 0.000 K
0.000 0.000 0.500 K
0.500 0.000 0.000 K
```

KCa3Rh | PBE | relaxed

Computed properties:
E_form = -0.13 eV per atom
energy above the most stable polymorph in this dataset = 63 meV/atom
size of the total moment = 0.00 μB per cell
calculated total energy = -3.02 eV per atom

```
KCa3Rh
1.0
-17.199 -1.208 10.668
-6.125 -6.098 7.066
11.090 1.221 0.387
Ca Rh K
12 4 4
Direct
0.441 0.141 0.371 Ca
0.059 0.871 0.641 Ca
0.559 0.859 0.629 Ca
0.941 0.129 0.359 Ca
0.073 0.242 0.977 Ca
0.427 0.477 0.742 Ca
0.927 0.758 0.023 Ca
0.573 0.523 0.258 Ca
0.430 0.241 0.873 Ca
0.070 0.373 0.741 Ca
0.570 0.759 0.127 Ca
0.930 0.627 0.259 Ca
0.241 0.358 0.421 Rh
0.259 0.921 0.858 Rh
0.759 0.642 0.579 Rh
0.741 0.079 0.142 Rh
0.750 0.988 0.488 K
0.250 0.012 0.512 K
0.750 0.358 0.858 K
0.250 0.642 0.142 K
```

KCa3Rh | PBE | relaxed

Computed properties:
E_form = 0.08 eV per atom
energy above the most stable polymorph in this dataset = 273 meV/atom
size of the total moment = 0.00 μB per cell
calculated total energy = -2.81 eV per atom

```
KCa3Rh
1.0
4.584 0.000 0.000
0.000 4.584 0.000
0.000 0.000 10.544
Ca Rh K
3 1 1
Direct
0.000 0.000 0.699 Ca
0.500 0.000 0.439 Ca
0.000 0.500 0.439 Ca
0.500 0.500 0.602 Rh
0.000 0.000 0.085 K
```

KCa3Rh | PBE | relaxed

Computed properties:
E_form = 1.42 eV per atom
energy above the most stable polymorph in this dataset = 1610 meV/atom
size of the total moment = 1.54 μB per cell
calculated total energy = -1.47 eV per atom

```
KCa3Rh
1.0
5.541 0.000 0.000
0.000 5.541 0.000
0.000 0.000 5.541
Ca Rh K
3 1 1
Direct
0.000 0.500 0.000 Ca
0.000 0.000 0.500 Ca
0.500 0.000 0.000 Ca
0.500 0.500 0.500 Rh
0.000 0.000 0.000 K
```

K2Ca2Rh | PBE | relaxed

Computed properties:
E_form = 0.11 eV per atom
size of the total moment = 0.00 μB per cell
calculated total energy = -2.60 eV per atom

```
K2Ca2Rh
1.0
7.568 0.000 0.000
0.000 7.568 0.000
0.000 0.000 6.980
Ca Rh K
4 2 4
Direct
0.317 0.817 0.000 Ca
0.817 0.683 0.000 Ca
0.683 0.183 0.000 Ca
0.183 0.317 0.000 Ca
0.000 0.000 0.000 Rh
0.500 0.500 0.000 Rh
0.187 0.687 0.500 K
0.687 0.813 0.500 K
0.813 0.313 0.500 K
0.313 0.187 0.500 K
```

KCa3Rh | PBE | relaxed

Computed properties:
E_form = -0.10 eV per atom
energy above the most stable polymorph in this dataset = 90 meV/atom
size of the total moment = 0.00 μB per cell
calculated total energy = -2.99 eV per atom

```
KCa3Rh
1.0
-3.993 -6.754 7.396
-2.240 3.581 9.920
-10.252 0.958 3.199
Ca Rh K
12 4 4
Direct
0.677 0.323 0.323 Ca
0.927 0.573 0.573 Ca
0.573 0.573 0.927 Ca
0.573 0.927 0.927 Ca
0.927 0.573 0.927 Ca
0.677 0.323 0.677 Ca
0.573 0.927 0.573 Ca
0.927 0.927 0.573 Ca
0.323 0.677 0.323 Ca
0.323 0.677 0.677 Ca
0.323 0.323 0.677 Ca
0.677 0.677 0.323 Ca
0.625 0.625 0.625 Rh
0.625 0.125 0.625 Rh
0.125 0.625 0.625 Rh
0.625 0.625 0.125 Rh
0.125 0.125 0.125 K
0.125 0.625 0.125 K
0.625 0.125 0.125 K
0.125 0.125 0.625 K
```

KCa2Rh | PBE | relaxed

Computed properties:
E_form = 0.11 eV per atom
energy above the most stable polymorph in this dataset = 270 meV/atom
size of the total moment = 0.00 μB per cell
calculated total energy = -3.00 eV per atom

```
KCa2Rh
1.0
0.000 3.803 3.803
3.803 0.000 3.803
3.803 3.803 0.000
Ca Rh K
2 1 1
Direct
0.250 0.250 0.250 Ca
0.750 0.750 0.750 Ca
0.500 0.500 0.500 Rh
0.000 0.000 0.000 K
```

K2CaRh | PBE | relaxed

Computed properties:
E_form = 0.51 eV per atom
size of the total moment = 0.00 μB per cell
calculated total energy = -2.37 eV per atom

```
K2CaRh
1.0
4.513 0.000 0.000
0.000 4.513 0.000
2.257 2.257 12.612
Ca Rh K
2 2 4
Direct
0.500 0.500 0.000 Ca
0.250 0.750 0.500 Ca
0.000 0.000 0.000 Rh
0.750 0.250 0.500 Rh
0.646 0.125 0.250 K
0.104 0.625 0.250 K
0.375 0.354 0.750 K
0.875 0.896 0.750 K
```

KCa3Rh | PBE | relaxed

Computed properties:
E_form = -0.06 eV per atom
energy above the most stable polymorph in this dataset = 132 meV/atom
size of the total moment = 0.00 μB per cell
calculated total energy = -2.95 eV per atom

```
KCa3Rh
1.0
0.817 -23.759 -5.674
-1.455 -1.705 6.932
-4.407 8.702 1.216
Ca Rh K
12 4 4
Direct
0.183 0.091 0.612 Ca
0.817 0.909 0.388 Ca
0.317 0.591 0.888 Ca
0.683 0.409 0.112 Ca
0.293 0.335 0.190 Ca
0.707 0.665 0.810 Ca
0.207 0.835 0.310 Ca
0.793 0.165 0.690 Ca
0.559 0.764 0.125 Ca
0.441 0.236 0.875 Ca
0.941 0.264 0.375 Ca
0.059 0.736 0.625 Ca
0.122 0.420 0.604 Rh
0.878 0.580 0.396 Rh
0.378 0.920 0.896 Rh
0.622 0.080 0.104 Rh
0.435 0.841 0.482 K
0.565 0.159 0.518 K
0.065 0.341 0.018 K
0.935 0.659 0.982 K
```

K2CaRh | PBE | relaxed

Computed properties:
E_form = 0.65 eV per atom
size of the total moment = 0.00 μB per cell
calculated total energy = -2.24 eV per atom

```
K2CaRh
1.0
0.000 4.000 4.000
4.000 0.000 4.000
4.000 4.000 0.000
Ca Rh K
1 1 2
Direct
0.000 0.000 0.000 Ca
0.500 0.500 0.500 Rh
0.250 0.250 0.250 K
0.750 0.750 0.750 K
```

KCa3Rh | PBE | relaxed

Computed properties:
E_form = 0.65 eV per atom
energy above the most stable polymorph in this dataset = 839 meV/atom
size of the total moment = 0.00 μB per cell
calculated total energy = -2.24 eV per atom

```
KCa3Rh
1.0
-3.039 -3.423 -3.534
-0.784 -3.764 4.320
-15.292 3.980 4.563
Ca Rh K
6 2 2
Direct
0.644 0.880 0.240 Ca
0.120 0.356 0.760 Ca
0.120 0.883 0.760 Ca
0.117 0.880 0.240 Ca
0.341 0.341 0.317 Ca
0.659 0.659 0.683 Ca
0.627 0.127 0.746 Rh
0.873 0.373 0.254 Rh
0.000 0.000 0.000 K
0.250 0.750 0.500 K
```

K3CaRh | PBE | relaxed

Computed properties:
E_form = 0.60 eV per atom
energy above the most stable polymorph in this dataset = 0 meV/atom
size of the total moment = 0.00 μB per cell
calculated total energy = -1.93 eV per atom

```
K3CaRh
1.0
-1.437 1.638 5.793
-5.985 -1.033 -1.192
0.652 -5.879 1.823
Ca Rh K
1 1 3
Direct
0.500 0.500 0.500 Ca
0.000 0.000 0.000 Rh
0.000 0.500 0.000 K
0.000 0.000 0.500 K
0.500 0.000 0.000 K
```

KCa2Rh | PBE | relaxed

Computed properties:
E_form = -0.03 eV per atom
energy above the most stable polymorph in this dataset = 123 meV/atom
size of the total moment = 0.00 μB per cell
calculated total energy = -3.15 eV per atom

```
KCa2Rh
1.0
9.430 0.002 0.006
7.638 5.531 -0.006
-8.300 -3.487 2.805
Ca K Rh
2 1 1
Direct
0.104 0.104 0.000 Ca
0.751 0.251 0.500 Ca
0.416 0.416 0.000 K
0.229 0.729 0.500 Rh
```

K2CaRh | PBE | relaxed

Computed properties:
E_form = 0.40 eV per atom
size of the total moment = 0.00 μB per cell
calculated total energy = -2.49 eV per atom

```
K2CaRh
1.0
5.549 0.003 0.000
-0.020 5.549 0.000
-2.764 -2.776 3.930
Ca K Rh
1 2 1
Direct
0.750 0.250 0.500 Ca
0.000 0.000 0.000 K
0.250 0.750 0.500 K
0.500 0.500 0.000 Rh
```

KCa3Rh | PBE | relaxed

Computed properties:
E_form = -0.18 eV per atom
energy above the most stable polymorph in this dataset = 15 meV/atom
size of the total moment = 0.00 μB per cell
calculated total energy = -3.07 eV per atom

```
KCa3Rh
1.0
12.525 0.022 0.008
-1.986 3.580 0.001
1.372 -1.585 8.698
K Rh Ca
2 2 6
Direct
0.752 0.278 0.435 K
0.614 0.798 0.903 K
0.101 0.610 0.073 Rh
0.201 0.997 0.551 Rh
0.918 0.822 0.039 Ca
0.044 0.348 0.719 Ca
0.241 0.239 0.916 Ca
0.352 0.067 0.240 Ca
0.102 0.243 0.334 Ca
0.371 0.771 0.593 Ca
```

KCa2Rh | PBE | relaxed

Computed properties:
E_form = -0.10 eV per atom
energy above the most stable polymorph in this dataset = 52 meV/atom
size of the total moment = 0.00 μB per cell
calculated total energy = -3.22 eV per atom

```
KCa2Rh
1.0
-2.918 -1.316 2.812
-0.641 -4.164 0.636
5.683 -1.832 8.347
Ca K Rh
2 1 1
Direct
0.952 0.952 0.138 Ca
0.712 0.712 0.861 Ca
0.505 0.505 0.501 K
0.332 0.332 0.000 Rh
```

KCa2Rh | PBE | relaxed

Computed properties:
E_form = -0.06 eV per atom
energy above the most stable polymorph in this dataset = 94 meV/atom
size of the total moment = 0.00 μB per cell
calculated total energy = -3.18 eV per atom

```
KCa2Rh
1.0
4.180 0.000 0.000
2.090 3.620 0.000
2.090 1.207 11.030
Ca Rh K
2 1 1
Direct
0.124 0.124 0.629 Ca
0.876 0.876 0.371 Ca
0.500 0.500 0.500 Rh
0.000 0.000 0.000 K
```

KCa3Rh | PBE | relaxed

Computed properties:
E_form = 0.04 eV per atom
energy above the most stable polymorph in this dataset = 231 meV/atom
size of the total moment = 0.00 μB per cell
calculated total energy = -2.85 eV per atom

```
KCa3Rh
1.0
-4.380 6.173 0.530
-2.931 -5.563 4.246
3.631 2.123 5.288
Ca Rh K
6 2 2
Direct
0.534 0.073 0.250 Ca
0.927 0.466 0.250 Ca
0.073 0.534 0.750 Ca
0.466 0.927 0.750 Ca
0.000 0.000 0.000 Ca
0.000 0.000 0.500 Ca
0.190 0.810 0.250 Rh
0.810 0.190 0.750 Rh
0.443 0.557 0.250 K
0.557 0.443 0.750 K
```